# 1
Computed, not measured: an optimized crystal structure of Zr2RhC at the PBE-GGA level of DFT.

The structure belongs to space group I-42d (No. 122); the cell edges are 6.3382, 6.3382 and 7.1376 Å and the angles 90.00°, 90.00° and 90.00°. The asymmetric unit holds Zr at (0.1929, 0.2500, 0.1250), Rh at (0.0000, 0.0000, 0.5000) and C at (0.0000, 0.0000, 0.0000).

Its volume is 17.92 Å³/atom. As for the magnetization: 0.00 μB per formula unit. The value obtained for the total energy is -8.609 eV/atom. The formation energy is -0.19 eV per atom.


# 2
Computed, not measured: an optimized crystal structure of RuC5 at the PBE-GGA level of DFT.

The structure belongs to space group Cm (No. 8); the cell edges are 6.8605, 2.6576 and 5.4790 Å and the angles 90.00°, 92.34° and 90.00°. The asymmetric unit holds Ru at (0.0000, 0.0000, 0.0000), C at (0.1091, 0.5000, 0.2823), C at (0.2797, 0.0000, 0.8746), C at (0.3237, 0.5000, 0.3310), C at (0.4219, 0.0000, 0.7074) and C at (0.4259, 0.0000, 0.4383).

Its volume is 8.32 Å³/atom. As for the magnetization: 0.00 μB per formula unit. For the energy above the most stable polymorph in this dataset, the calculation gives 0 meV per atom. The value obtained for the total energy is -8.374 eV/atom. The formation energy is 0.86 eV per atom.


# 3
Computed, not measured: an optimized crystal structure of Ru3C at the PBE-GGA level of DFT.

The structure belongs to space group P4/mmm (No. 123); the cell edges are 4.2466, 4.2466 and 2.7935 Å and the angles 90.00°, 90.00° and 90.00°. The asymmetric unit holds Ru at (0.0000, 0.0000, 0.0000), Ru at (0.0000, 0.5000, 0.5000) and C at (0.5000, 0.5000, 0.0000).

Its volume is 12.59 Å³/atom. As for the magnetization: 0.00 μB per formula unit. For the energy above the most stable polymorph in this dataset, the calculation gives 982 meV per atom. The value obtained for the total energy is -7.954 eV/atom. The formation energy is 1.31 eV per atom.


# 4
Computed, not measured: an optimized crystal structure of Ru3C at the PBE-GGA level of DFT.

The structure belongs to space group I4/mmm (No. 139); the cell edges are 3.6055, 3.6055 and 16.0075 Å and the angles 90.00°, 90.00° and 90.00°. The asymmetric unit holds Ru at (0.0000, 0.0000, 0.1319), Ru at (0.0000, 0.5000, 0.0000), Ru at (0.0000, 0.5000, 0.2500) and C at (0.0000, 0.0000, 0.4237).

Its volume is 13.01 Å³/atom. As for the magnetization: 0.43 μB per formula unit. For the energy above the most stable polymorph in this dataset, the calculation gives 756 meV per atom. The value obtained for the total energy is -8.181 eV/atom. The formation energy is 1.08 eV per atom.


# 5
Computed, not measured: an optimized crystal structure of RuC2 at the PBE-GGA level of DFT.

The structure belongs to space group Fm-3m (No. 225); the cell edges are 4.9385, 4.9385 and 4.9385 Å and the angles 90.00°, 90.00° and 90.00°. The asymmetric unit holds Ru at (0.0000, 0.0000, 0.0000) and C at (0.2500, 0.2500, 0.2500).

Its volume is 10.04 Å³/atom. As for the magnetization: 0.00 μB per formula unit. For the energy above the most stable polymorph in this dataset, the calculation gives 1322 meV per atom. The value obtained for the total energy is -7.335 eV/atom. The formation energy is 1.91 eV per atom.


# 6
Computed, not measured: an optimized crystal structure of Ru4C3 at the PBE-GGA level of DFT.

The structure belongs to space group P6/mmm (No. 191); the cell edges are 3.9438, 3.9438 and 6.0242 Å and the angles 90.00°, 90.00° and 120.00°. The asymmetric unit holds Ru at (0.0000, 0.0000, 0.2152), Ru at (0.3333, 0.6667, 0.5000) and C at (0.0000, 0.5000, 0.0000).

Its volume is 11.59 Å³/atom. As for the magnetization: 0.18 μB per formula unit. For the energy above the most stable polymorph in this dataset, the calculation gives 1228 meV per atom. The value obtained for the total energy is -7.344 eV/atom. The formation energy is 1.91 eV per atom.


# 7
Computed, not measured: an optimized crystal structure of Ru2C at the PBE-GGA level of DFT.

The structure belongs to space group R3m (No. 160, hexagonal axes); the cell edges are 2.7866, 2.7866 and 15.1307 Å and the angles 90.00°, 90.00° and 120.00°. The asymmetric unit holds Ru at (0.0000, 0.0000, 0.0000), Ru at (0.0000, 0.0000, 0.1827) and C at (0.0000, 0.0000, 0.7598).

Its volume is 11.31 Å³/atom. As for the magnetization: 0.00 μB per formula unit. For the energy above the most stable polymorph in this dataset, the calculation gives 42 meV per atom. The value obtained for the total energy is -8.907 eV/atom. The formation energy is 0.35 eV per atom.


# 8
Computed, not measured: an optimized crystal structure of Ru2C at the PBE-GGA level of DFT.

The structure belongs to space group P6_3/mmc (No. 194); the cell edges are 5.9392, 5.9392 and 7.4699 Å and the angles 90.00°, 90.00° and 120.00°. The asymmetric unit holds Ru at (0.0000, 0.0000, 0.0000), Ru at (0.1618, 0.3235, 0.2500) and C at (0.3333, 0.6667, 0.1381).

Its volume is 19.02 Å³/atom. As for the magnetization: 0.00 μB per formula unit. For the energy above the most stable polymorph in this dataset, the calculation gives 1407 meV per atom. The value obtained for the total energy is -7.542 eV/atom. The formation energy is 1.72 eV per atom.


# 9
Computed, not measured: an optimized crystal structure of Ru2C at the PBE-GGA level of DFT.

The structure belongs to space group Cm (No. 8); the cell edges are 9.8982, 2.7773 and 5.0196 Å and the angles 90.00°, 93.14° and 90.00°. The asymmetric unit holds Ru at (0.0000, 0.0000, 0.0000), Ru at (0.0952, 0.0000, 0.5119), Ru at (0.2353, 0.5000, 0.9188), Ru at (0.3608, 0.0000, 0.3743), C at (0.1917, 0.5000, 0.2974) and C at (0.3890, 0.0000, 0.7769).

Its volume is 11.48 Å³/atom. As for the magnetization: 0.00 μB per formula unit. For the energy above the most stable polymorph in this dataset, the calculation gives 110 meV per atom. The value obtained for the total energy is -8.839 eV/atom. The formation energy is 0.42 eV per atom.


# 10
Computed, not measured: an optimized crystal structure of Ru3C at the PBE-GGA level of DFT.

The structure belongs to space group Cmmm (No. 65); the cell edges are 2.7623, 4.8198 and 7.6462 Å and the angles 90.00°, 90.00° and 90.00°. The asymmetric unit holds Ru at (0.0000, 0.0000, 0.0000), Ru at (0.0000, 0.5000, 0.3106) and C at (0.0000, 0.0000, 0.5000).

Its volume is 12.73 Å³/atom. As for the magnetization: 0.77 μB per formula unit. For the energy above the most stable polymorph in this dataset, the calculation gives 409 meV per atom. The value obtained for the total energy is -8.527 eV/atom. The formation energy is 0.74 eV per atom.


# 11
Computed, not measured: an optimized crystal structure of Ru3C4 at the PBE-GGA level of DFT.

The structure belongs to space group P-43m (No. 215); the cell edges are 4.6721, 4.6721 and 4.6721 Å and the angles 90.00°, 90.00° and 90.00°. The asymmetric unit holds Ru at (0.0000, 0.0000, 0.5000) and C at (0.2067, 0.2067, 0.2067).

Its volume is 14.57 Å³/atom. As for the magnetization: 0.00 μB per formula unit. For the energy above the most stable polymorph in this dataset, the calculation gives 0 meV per atom. The value obtained for the total energy is -8.203 eV/atom. The formation energy is 1.04 eV per atom.


# 12
Computed, not measured: an optimized crystal structure of Ru2C at the PBE-GGA level of DFT.

The structure belongs to space group C2/m (No. 12); the cell edges are 4.8847, 2.8208 and 14.9322 Å and the angles 90.00°, 96.02° and 90.00°. The asymmetric unit holds Ru at (0.0829, 0.0000, 0.2395), Ru at (0.1339, 0.0000, 0.4232), Ru at (0.1365, 0.5000, 0.9118), C at (0.0000, 0.0000, 0.0000) and C at (0.0549, 0.5000, 0.6697).

Its volume is 11.37 Å³/atom. As for the magnetization: 0.00 μB per formula unit. For the energy above the most stable polymorph in this dataset, the calculation gives 84 meV per atom. The value obtained for the total energy is -8.865 eV/atom. The formation energy is 0.39 eV per atom.


# 13
Computed, not measured: an optimized crystal structure of RuC2 at the PBE-GGA level of DFT.

The structure belongs to space group I4/mmm (No. 139); the cell edges are 2.7702, 2.7702 and 6.7467 Å and the angles 90.00°, 90.00° and 90.00°. The asymmetric unit holds Ru at (0.0000, 0.0000, 0.0000) and C at (0.0000, 0.0000, 0.3220).

Its volume is 8.63 Å³/atom. As for the magnetization: 0.00 μB per formula unit. For the energy above the most stable polymorph in this dataset, the calculation gives 1343 meV per atom. The value obtained for the total energy is -7.314 eV/atom. The formation energy is 1.93 eV per atom.


# 14
Computed, not measured: an optimized crystal structure of Ru3C2 at the PBE-GGA level of DFT.

The structure belongs to space group R-3m (No. 166, hexagonal axes); the cell edges are 3.2439, 3.2439 and 19.0626 Å and the angles 90.00°, 90.00° and 120.00°. The asymmetric unit holds Ru at (0.0000, 0.0000, 0.0000), Ru at (0.0000, 0.0000, 0.2291) and C at (0.0000, 0.0000, 0.4047).

Its volume is 11.58 Å³/atom. As for the magnetization: 0.00 μB per formula unit. For the energy above the most stable polymorph in this dataset, the calculation gives 121 meV per atom. The value obtained for the total energy is -8.738 eV/atom. The formation energy is 0.52 eV per atom.


# 15
Computed, not measured: an optimized crystal structure of RuC2 at the PBE-GGA level of DFT.

The structure belongs to space group Imma (No. 74); the cell edges are 2.5930, 3.8697 and 15.8557 Å and the angles 90.00°, 90.00° and 90.00°. The asymmetric unit holds Ru at (0.0000, 0.2500, 0.0478), C at (0.0000, 0.2500, 0.2724) and C at (0.0000, 0.2500, 0.3600).

Its volume is 13.26 Å³/atom. As for the magnetization: 0.00 μB per formula unit. For the energy above the most stable polymorph in this dataset, the calculation gives 127 meV per atom. The value obtained for the total energy is -8.530 eV/atom. The formation energy is 0.71 eV per atom.


# 16
Computed, not measured: an optimized crystal structure of Ru2C at the PBE-GGA level of DFT.

The structure belongs to space group C2/m (No. 12); the cell edges are 10.3324, 2.7937 and 5.1199 Å and the angles 90.00°, 108.45° and 90.00°. The asymmetric unit holds Ru at (0.0566, 0.0000, 0.2958), Ru at (0.1836, 0.5000, 0.7644) and C at (0.1487, 0.5000, 0.1250).

Its volume is 11.68 Å³/atom. As for the magnetization: 0.00 μB per formula unit. For the energy above the most stable polymorph in this dataset, the calculation gives 104 meV per atom. The value obtained for the total energy is -8.845 eV/atom. The formation energy is 0.41 eV per atom.


# 17
Computed, not measured: an optimized crystal structure of RuC2 at the PBE-GGA level of DFT.

The structure belongs to space group Pnma (No. 62); the cell edges are 4.4942, 2.5845 and 12.0759 Å and the angles 90.00°, 90.00° and 90.00°. The asymmetric unit holds Ru at (0.2297, 0.2500, 0.1894), C at (0.1542, 0.2500, 0.8566) and C at (0.1853, 0.2500, 0.3597).

Its volume is 11.69 Å³/atom. As for the magnetization: 0.00 μB per formula unit. For the energy above the most stable polymorph in this dataset, the calculation gives 504 meV per atom. The value obtained for the total energy is -8.153 eV/atom. The formation energy is 1.09 eV per atom.


# 18
Computed, not measured: an optimized crystal structure of RuC2 at the PBE-GGA level of DFT.

The structure belongs to space group Immm (No. 71); the cell edges are 2.7847, 4.4461 and 4.5441 Å and the angles 90.00°, 90.00° and 90.00°. The asymmetric unit holds Ru at (0.0000, 0.0000, 0.0000) and C at (0.0000, 0.5000, 0.1501).

Its volume is 9.38 Å³/atom. As for the magnetization: 0.00 μB per formula unit. For the energy above the most stable polymorph in this dataset, the calculation gives 381 meV per atom. The value obtained for the total energy is -8.276 eV/atom. The formation energy is 0.97 eV per atom.


# 19
Computed, not measured: an optimized crystal structure of Ru2C at the PBE-GGA level of DFT.

The structure belongs to space group Cmmm (No. 65); the cell edges are 5.1202, 10.3324 and 2.8402 Å and the angles 90.00°, 90.00° and 90.00°. The asymmetric unit holds Ru at (0.0000, 0.0000, 0.0000), Ru at (0.0000, 0.2259, 0.5000), Ru at (0.0000, 0.5000, 0.5000) and C at (0.0000, 0.3520, 0.0000).

Its volume is 12.52 Å³/atom. As for the magnetization: 0.00 μB per formula unit. For the energy above the most stable polymorph in this dataset, the calculation gives 574 meV per atom. The value obtained for the total energy is -8.375 eV/atom. The formation energy is 0.88 eV per atom.


# 20
Computed, not measured: an optimized crystal structure of Ru3C2 at the PBE-GGA level of DFT.

The structure belongs to space group Fdd2 (No. 43); the cell edges are 9.7202, 12.0006 and 3.8526 Å and the angles 90.00°, 90.00° and 90.00°. The asymmetric unit holds Ru at (0.0000, 0.0000, 0.0000), Ru at (0.0063, 0.3315, 0.0161) and C at (0.0802, 0.1674, 0.0182).

Its volume is 11.23 Å³/atom. As for the magnetization: 0.00 μB per formula unit. For the energy above the most stable polymorph in this dataset, the calculation gives 0 meV per atom. The value obtained for the total energy is -8.860 eV/atom. The formation energy is 0.40 eV per atom.